# 1
Entry from Alexandria: crystalline Sm2Tm12Sc at its relaxed geometry (PBE).

Cell lengths 6.447, 6.447, 25.135 Å; angles 81.72, 98.28, 66.22 degrees
Element x y z (fractional)
Tm 0.674 0.325 0.061
Tm 0.692 0.808 0.572
Tm 0.727 0.773 0.873
Tm 0.808 0.692 0.428
Tm 0.657 0.343 0.801
Tm 0.843 0.157 0.199
Tm 0.227 0.273 0.873
Tm 0.157 0.843 0.801
Tm 0.325 0.674 0.939
Tm 0.676 0.324 0.554
Tm 0.308 0.192 0.428
Tm 0.176 0.824 0.554
Tm 0.824 0.176 0.446
Tm 0.273 0.227 0.127
Tm 0.343 0.657 0.199
Tm 0.175 0.826 0.061
Tm 0.826 0.175 0.939
Tm 0.531 0.469 0.668
Tm 0.031 0.969 0.668
Tm 0.192 0.308 0.572
Tm 0.324 0.676 0.446
Tm 0.469 0.531 0.332
Tm 0.969 0.031 0.332
Tm 0.773 0.727 0.127
Sm 0.082 0.418 0.722
Sm 0.582 0.918 0.722
Sm 0.418 0.082 0.278
Sm 0.918 0.582 0.278
Sc 0.000 0.500 0.000
Sc 0.500 0.000 0.000

---

# 2
Entry from Alexandria: crystalline Sm3TmSc6 at its relaxed geometry (PBE).

Cell lengths 5.911, 10.412, 10.412 Å; angles 119.34, 90.00, 90.00 degrees
Element x y z (fractional)
Sc 0.853 0.991 0.553
Sc 0.503 0.263 0.379
Sc 0.954 0.056 0.944
Sc 0.853 0.447 0.009
Sc 0.131 0.697 0.303
Sc 0.003 0.379 0.263
Sc 0.631 0.303 0.697
Sc 0.503 0.621 0.737
Sc 0.353 0.009 0.447
Sc 0.454 0.944 0.056
Sc 0.353 0.553 0.991
Sc 0.003 0.737 0.621
Sm 0.472 0.927 0.720
Sm 0.972 0.720 0.927
Sm 0.472 0.280 0.073
Sm 0.564 0.592 0.408
Sm 0.972 0.073 0.280
Sm 0.064 0.408 0.592
Tm 0.180 0.222 0.778
Tm 0.680 0.778 0.222

Summary:
The energy above the most stable polymorph in this dataset is 0.000 eV per atom.

---

# 3
Entry from Alexandria: crystalline Sm10TmSc6 at its relaxed geometry (PBE).

Cell lengths 6.693, 9.480, 9.480 Å; angles 120.00, 90.00, 90.00 degrees
Element x y z (fractional)
Sm 0.000 0.333 0.667
Sm 0.500 0.667 0.333
Sm 0.500 0.333 0.667
Sm 0.821 0.719 0.719
Sm 0.179 0.281 0.281
Sm 0.179 0.719 0.000
Sm 0.821 0.000 0.281
Sm 0.000 0.667 0.333
Sm 0.179 0.000 0.719
Sm 0.821 0.281 0.000
Sc 0.673 0.640 0.000
Sc 0.673 0.000 0.640
Sc 0.327 0.360 0.000
Sc 0.673 0.360 0.360
Sc 0.327 0.640 0.640
Sc 0.327 0.000 0.360
Tm 0.500 0.000 0.000

---

Computed ρ (Mg/m³) in order:
8.5 5.3 6.2
Computed VASP energy (eV per atom) in order:
-4.499 -5.497 -5.136